Entry 1:
This record from Alexandria via LeMat-Bulk describes a relaxed MgTc2Ag crystal. The functional is PBEsol.

The theoretical density comes out at 9.0 g/cm3. The calculation puts the density of states at the Fermi level at 6.34 states/eV/cell. Its formation enthalpy at 0 K is 0.349 eV/atom.

It has space group I-4m2 (No. 119), with a = 4.2197 Å, b = 4.2197 Å, c = 6.7764 Å, α = 90.00°, β = 90.00° and γ = 90.00°. The distinct sites, in fractional coordinates, are Mg at (0.0000, 0.0000, 0.0000), Tc at (0.0000, 0.0000, 0.5000), Tc at (0.0000, 0.5000, 0.2500) and Ag at (0.0000, 0.5000, 0.7500).

---

Entry 2:
This record from Alexandria via LeMat-Bulk describes a relaxed Rb2ZnNO crystal. The functional is PBEsol.

The theoretical density comes out at 3.2 g/cm3. The calculation puts the density of states at the Fermi level at 4.26 states/eV/cell. The calculation puts the uncorrected formation energy at 36.3 kJ/mol of atoms.

It has space group P4/mmm (No. 123), with a = 6.1069 Å, b = 6.1069 Å, c = 3.6533 Å, α = 90.00°, β = 90.00° and γ = 90.00°. The distinct sites, in fractional coordinates, are Rb at (0.0000, 0.5000, 0.0000), Zn at (0.0000, 0.0000, 0.0000), N at (0.5000, 0.5000, 0.5000) and O at (0.0000, 0.0000, 0.5000).

---

no.,electronic total energy (eV/atom),magnetic moment (Bohr magnetons per cell)
1,-6.541,0.00
2,-3.106,1.72